Record 1
Sm3Mg2Pt3: relaxed, PBE-GGA. Values from VASP.

Structure (Quantum ESPRESSO input):
```
&SYSTEM
  ibrav = 0, nat = 16, ntyp = 3
/
ATOMIC_SPECIES
Sm 150.36 Sm.upf
Pt 195.08 Pt.upf
Mg 24.30 Mg.upf
ATOMIC_POSITIONS crystal
Sm 0.750 0.729 0.729
Sm 0.750 0.000 0.271
Sm 0.250 0.271 0.271
Sm 0.250 0.000 0.729
Sm 0.750 0.271 0.000
Sm 0.250 0.729 0.000
Pt 0.750 0.000 0.610
Pt 0.750 0.610 0.000
Pt 0.250 0.000 0.390
Pt 0.750 0.390 0.390
Pt 0.250 0.390 0.000
Pt 0.250 0.610 0.610
Mg 0.500 0.333 0.667
Mg 0.500 0.667 0.333
Mg 0.000 0.333 0.667
Mg 0.000 0.667 0.333
CELL_PARAMETERS angstrom
-0.684 3.529 -4.619
3.569 -5.857 -5.003
-8.399 -0.017 1.231
```

* space group: P6_3/mcm, No. 193
* formation enthalpy at 0 K: -952 meV/atom

=====

Record 2
LaB3As: relaxed, PBE-GGA. Values from VASP.

Structure (Quantum ESPRESSO input):
```
&SYSTEM
  ibrav = 0, nat = 5, ntyp = 3
/
ATOMIC_SPECIES
As 74.92 As.upf
B 10.81 B.upf
La 138.91 La.upf
ATOMIC_POSITIONS crystal
As 0.500 0.500 0.500
B 0.500 0.000 0.000
B 0.000 0.000 0.500
B 0.000 0.500 0.000
La 0.000 0.000 0.000
CELL_PARAMETERS angstrom
4.808 0.000 0.000
0.000 4.808 0.000
0.000 0.000 4.808
```

* distance to the lowest polymorph of the same formula: 1442.6 meV per atom
* space group: Pm-3m, No. 221
* formation enthalpy at 0 K: 2431 meV/atom

=====

Record 3
TiSi2Te6: relaxed, PBE-GGA. Values from VASP.

Structure (Quantum ESPRESSO input):
```
&SYSTEM
  ibrav = 0, nat = 18, ntyp = 3
/
ATOMIC_SPECIES
Te 127.60 Te.upf
Si 28.09 Si.upf
Ti 47.87 Ti.upf
ATOMIC_POSITIONS crystal
Te 0.140 0.474 0.285
Te 0.860 0.882 0.390
Te 0.111 0.824 0.961
Te 0.360 0.715 0.526
Te 0.640 0.610 0.118
Te 0.140 0.118 0.610
Te 0.860 0.526 0.715
Te 0.889 0.176 0.039
Te 0.611 0.961 0.824
Te 0.640 0.285 0.474
Te 0.360 0.390 0.882
Te 0.389 0.039 0.176
Si 0.164 0.620 0.767
Si 0.336 0.233 0.380
Si 0.664 0.767 0.620
Si 0.836 0.380 0.233
Ti 0.250 0.118 0.882
Ti 0.750 0.882 0.118
CELL_PARAMETERS angstrom
-1.602 -6.731 -1.884
8.370 -3.269 -0.213
-0.275 -3.578 8.241
```

* space group: C2/c, No. 15

=====

Number 1: magnetic moment 0.0 μB per cell, raw total energy -0.3958 Ry per atom. Number 2: magnetic moment 0.0 μB per cell, raw total energy -0.2566 Ry per atom. Number 3: magnetic moment 0.0 μB per cell, raw total energy -0.3182 Ry per atom.